No. 1
# HgMoOs2 SCAN single point on PBEsol structure
data_HgMoOs2
_chemical_formula_sum 'Hg2 Mo2 Os4'
_space_group_name_H-M_alt 'I m m m'
_space_group_IT_number 71
_space_group_name_Hall '-I 2 2'
_cell_length_a 2.8243
_cell_length_b 4.7326
_cell_length_c 9.5602
_cell_angle_alpha 90.00
_cell_angle_beta 90.00
_cell_angle_gamma 90.00
loop_
_atom_site_label
_atom_site_type_symbol
_atom_site_fract_x
_atom_site_fract_y
_atom_site_fract_z
Hg1 Hg 0.0000 0.0000 0.0000
Mo1 Mo 0.0000 0.0000 0.5000
Os1 Os 0.0000 0.5000 0.2252
# **Energy of formation from the pure elements**: 0.6756 eV per atom
# **Density**: 17.59 g/cm3
# **Size of the total moment**: 0.0 Bohr magnetons per cell

---

No. 2
# BaTa2Al SCAN single point on PBEsol structure
data_BaTa2Al
_chemical_formula_sum 'Ba1 Ta2 Al1'
_space_group_name_H-M_alt 'P 4 m m'
_space_group_IT_number 99
_space_group_name_Hall 'P 4 -2'
_cell_length_a 2.9634
_cell_length_b 2.9634
_cell_length_c 9.9817
_cell_angle_alpha 90.00
_cell_angle_beta 90.00
_cell_angle_gamma 90.00
loop_
_atom_site_label
_atom_site_type_symbol
_atom_site_fract_x
_atom_site_fract_y
_atom_site_fract_z
Ba1 Ba 0.0000 0.0000 0.0000
Ta1 Ta 0.0000 0.0000 0.5242
Ta2 Ta 0.5000 0.5000 0.3127
Al1 Al 0.5000 0.5000 0.7188
# **Energy of formation from the pure elements**: 0.4940 eV per atom
# **Density**: 9.97 g/cm3
# **Size of the total moment**: 0.0 Bohr magnetons per cell

---

No. 3
# CuH6BrN2 SCAN single point on PBEsol structure
data_CuH6BrN2
_chemical_formula_sum 'Cu4 H24 Br4 N8'
_space_group_name_H-M_alt 'C 1 2/c 1'
_space_group_IT_number 15
_space_group_name_Hall '-C 2yc'
_cell_length_a 6.8438
_cell_length_b 12.4331
_cell_length_c 5.4950
_cell_angle_alpha 90.00
_cell_angle_beta 112.44
_cell_angle_gamma 90.00
loop_
_atom_site_label
_atom_site_type_symbol
_atom_site_fract_x
_atom_site_fract_y
_atom_site_fract_z
Cu1 Cu 0.0000 0.0000 0.0000
H1 H 0.1024 0.1916 0.0952
H2 H 0.2127 0.3881 0.7065
H3 H 0.2322 0.3731 0.0177
Br1 Br 0.0000 0.3642 0.2500
N1 N 0.1803 0.1196 0.1000
# **Total DFT energy (no corrections)**: -7.830 eV per atom
# **Density**: 2.73 g/cm3
# **Size of the total moment**: 0.0 Bohr magnetons per cell

---

No. 4
# Ca2CdCl SCAN single point on PBEsol structure
data_Ca2CdCl
_chemical_formula_sum 'Ca6 Cd3 Cl3'
_space_group_name_H-M_alt 'R -3 m'
_space_group_IT_number 166
_space_group_name_Hall '-R 3 2"'
_cell_length_a 3.9102
_cell_length_b 3.9102
_cell_length_c 24.4219
_cell_angle_alpha 90.00
_cell_angle_beta 90.00
_cell_angle_gamma 120.00
loop_
_atom_site_label
_atom_site_type_symbol
_atom_site_fract_x
_atom_site_fract_y
_atom_site_fract_z
Ca1 Ca 0.0000 0.0000 0.2457
Cd1 Cd 0.0000 0.0000 0.0000
Cl1 Cl 0.0000 0.0000 0.5000
# **ΔE_f (raw)**: -1.063 eV/atom
# **E above lowest polymorph**: 0 meV/atom
# **Density**: 3.51 g/cm3
# **Size of the total moment**: 0.0 Bohr magnetons per cell